Material: Bi3BP
Method: DFT, PBE
State: optimized geometry

- Calculated formation energy: 970 meV per atom
- E: -18.88 eV per cell
- Distance to the lowest polymorph of the same formula: 0.00 kcal/mol of atoms
- Space-group type: Pm-3m

Cell and atoms, written as POSCAR:
```
Bi3BP
1.0
5.0239 0.0000 0.0000
0.0000 5.0239 0.0000
0.0000 0.0000 5.0239
Bi B P
3 1 1
direct
0.0000 0.0000 0.5000 Bi
0.0000 0.5000 0.0000 Bi
0.5000 0.0000 0.0000 Bi
0.0000 0.0000 0.0000 B
0.5000 0.5000 0.5000 P
```